Density functional theory data (PBE) for crystalline Zn2InRh at its relaxed geometry.

a = 3.1761 Å, b = 3.6602 Å, c = 5.6149 Å
α = 90.00°, β = 90.00°, γ = 90.00°
Fractional coordinates of all 4 atoms:
Zn (0.5000, 0.5000, 0.2267)
Zn (0.0000, 0.0000, 0.9973)
Rh (0.5000, 0.5000, 0.7643)
In (0.0000, 0.0000, 0.5118)

Values from the calculation:
As for the symmetry: Pmm2. For the calculated density, the calculation gives 8.87 g cm⁻³. The value obtained for the formation energy from the elements is -192 meV/atom. For the density of states at the Fermi level, the calculation gives 0.375 states/eV/atom.